No. 1
Rb2TeAsPd: optimized geometry, PBE-GGA.

abc: 6.982 4.991 6.982
angles: 90.00 90.00 90.00
Atoms (fractional coordinates):
Rb  0.500  0.000  0.000
Pd  0.000  0.500  0.000
Rb  0.000  0.000  0.500
As  0.500  0.500  0.500
Te  0.000  0.000  0.000

Summary:
* energy relative to the elements, uncorrected: 0.031 eV/atom

***

No. 2
Er2GaCu2: optimized geometry, PBE-GGA.

abc: 4.200 5.552 9.445
angles: 87.36 77.15 67.78
Atoms (fractional coordinates):
Cu  0.629  0.855  0.887
Cu  0.371  0.145  0.113
Ga  0.622  0.103  0.653
Er  0.085  0.721  0.109
Er  0.324  0.691  0.661
Er  0.676  0.309  0.339
Cu  0.076  0.285  0.563
Cu  0.924  0.715  0.437
Er  0.915  0.279  0.891
Ga  0.378  0.897  0.347

Summary:
* DFT formation energy: -0.384 eV/atom

***

These records have Fermi-level density of states values of 5.54, 9.18 states/eV per cell, in the order they appear.